# 1
Pr2RuBr | Alexandria via LeMat-Bulk | PBE | relaxed; energy relative to the elements, uncorrected = -0.71 eV/atom; E = -5.84 eV per atom; relative energy among the computed polymorphs = 0.0297 eV per atom; density of states at the Fermi level = 2.16 states/eV/cell; calculated volume = 25.66 Å³ per atom
1.0
3.5027 0.0000 0.0000
0.0000 3.5027 0.0000
0.0000 0.0000 8.3652
Pr Ru Br
2 1 1
Direct
0.0000 0.0000 0.2107
0.0000 0.0000 0.7893
0.5000 0.5000 0.0000
0.5000 0.5000 0.5000

=====

# 2
Pr3RuBr2 | Alexandria via LeMat-Bulk | PBE | relaxed; energy relative to the elements, uncorrected = -0.89 eV/atom; E = -5.39 eV per atom; relative energy among the computed polymorphs = 0.0213 eV per atom; density of states at the Fermi level = 9.31 states/eV/cell; calculated volume = 29.39 Å³ per atom
1.0
4.0863 -6.4062 0.0000
4.0863 6.4062 0.0000
-2.3913 0.0000 6.7362
Pr Ru Br
6 2 4
Direct
0.0000 0.5000 0.5000
0.1204 0.2632 0.0010
0.2632 0.1204 0.5010
0.5000 0.0000 0.0000
0.7368 0.8796 0.4990
0.8796 0.7368 0.9990
0.0951 0.9049 0.7500
0.9049 0.0951 0.2500
0.2704 0.7296 0.2500
0.4257 0.5743 0.7500
0.5743 0.4257 0.2500
0.7296 0.2704 0.7500

=====

# 3
Pr3RuBr | Alexandria via LeMat-Bulk | PBE | relaxed; energy relative to the elements, uncorrected = -0.55 eV/atom; E = -5.61 eV per atom; relative energy among the computed polymorphs = 0.0000 eV per atom; density of states at the Fermi level = 6.89 states/eV/cell; calculated volume = 30.30 Å³ per atom
1.0
7.6119 0.0000 0.0000
0.0000 4.1096 0.0000
-1.3869 0.0000 9.6864
Pr Ru Br
6 2 2
Direct
0.0204 0.2500 0.1505
0.2897 0.7500 0.4089
0.4781 0.7500 0.8412
0.5219 0.2500 0.1588
0.7103 0.2500 0.5911
0.9796 0.7500 0.8495
0.2659 0.7500 0.1067
0.7341 0.2500 0.8933
0.1538 0.2500 0.6384
0.8462 0.7500 0.3616

=====

# 4
Pr5Ru2Br2 | Alexandria via LeMat-Bulk | PBE | relaxed; energy relative to the elements, uncorrected = -0.64 eV/atom; E = -5.73 eV per atom; density of states at the Fermi level = 16.54 states/eV/cell; calculated volume = 29.56 Å³ per atom
1.0
8.1261 -4.0319 0.0000
8.1261 4.0319 0.0000
0.0000 0.0000 8.1200
Pr Ru Br
10 4 4
Direct
0.0000 0.0000 0.0000
0.0439 0.7328 0.6544
0.2328 0.5439 0.1544
0.2672 0.9561 0.6544
0.4561 0.7672 0.1544
0.5000 0.5000 0.5000
0.5439 0.2328 0.8456
0.7328 0.0439 0.3456
0.7672 0.4561 0.8456
0.9561 0.2672 0.3456
0.1427 0.8573 0.3591
0.3573 0.6427 0.8591
0.6427 0.3573 0.1409
0.8573 0.1427 0.6409
0.2112 0.2112 0.0000
0.2888 0.2888 0.5000
0.7112 0.7112 0.5000
0.7888 0.7888 0.0000

=====

# 5
Pr4RuBr5 | Alexandria via LeMat-Bulk | PBE | relaxed; energy relative to the elements, uncorrected = -1.37 eV/atom; E = -5.05 eV per atom; density of states at the Fermi level = 6.09 states/eV/cell; calculated volume = 34.66 Å³ per atom
1.0
9.4610 -2.0891 0.0000
9.4610 2.0891 0.0000
-2.3336 0.0000 8.7690
Pr Ru Br
4 1 5
Direct
0.0007 0.0007 0.2239
0.3535 0.3535 0.9169
0.6465 0.6465 0.0831
0.9993 0.9993 0.7761
0.5000 0.5000 0.0000
0.1680 0.1680 0.3357
0.1717 0.1717 0.8477
0.5000 0.5000 0.5000
0.8283 0.8283 0.1523
0.8320 0.8320 0.6643

=====

# 6
Pr2RuBr | Alexandria via LeMat-Bulk | PBE | relaxed; energy relative to the elements, uncorrected = -0.72 eV/atom; E = -5.85 eV per atom; relative energy among the computed polymorphs = 0.0145 eV per atom; density of states at the Fermi level = 8.36 states/eV/cell; calculated volume = 29.15 Å³ per atom
1.0
4.1019 0.0000 0.0000
-2.0510 3.5524 0.0000
0.0000 0.0000 24.0057
Pr Ru Br
6 3 3
Direct
0.0000 0.0000 0.0000
0.0000 0.0000 0.2021
0.3333 0.6667 0.6667
0.3333 0.6667 0.8687
0.6667 0.3333 0.3333
0.6667 0.3333 0.5354
0.0000 0.0000 0.6012
0.3333 0.6667 0.2678
0.6667 0.3333 0.9345
0.0000 0.0000 0.4330
0.3333 0.6667 0.0997
0.6667 0.3333 0.7663

=====

# 7
Pr4RuSBr2 | Alexandria via LeMat-Bulk | PBE | relaxed; energy relative to the elements, uncorrected = -1.19 eV/atom; E = -5.67 eV per atom; density of states at the Fermi level = 6.10 states/eV/cell; calculated volume = 28.83 Å³ per atom
1.0
7.4664 0.0000 0.0000
0.0000 4.0648 0.0000
-2.2363 0.0000 7.5995
Pr Ru S Br
4 1 1 2
Direct
0.2204 0.0000 0.2001
0.2616 0.5000 0.8014
0.7384 0.5000 0.1986
0.7796 0.0000 0.7999
0.0000 0.5000 0.0000
0.5000 0.0000 0.0000
0.0000 0.0000 0.5000
0.5000 0.5000 0.5000

=====

# 8
Pr8Ru3SBr4 | Alexandria via LeMat-Bulk | PBE | relaxed; energy relative to the elements, uncorrected = -0.98 eV/atom; E = -5.79 eV per atom; density of states at the Fermi level = 7.40 states/eV/cell; calculated volume = 29.46 Å³ per atom
1.0
4.1751 2.4105 7.8062
-4.1751 2.4105 7.8062
0.0000 -4.8209 7.8062
Pr Ru S Br
8 3 1 4
Direct
0.2189 0.7378 0.7378
0.2342 0.2342 0.2342
0.2622 0.2622 0.7811
0.2622 0.7811 0.2622
0.7378 0.2189 0.7378
0.7378 0.7378 0.2189
0.7658 0.7658 0.7658
0.7811 0.2622 0.2622
0.0000 0.0000 0.5000
0.0000 0.5000 0.0000
0.5000 0.0000 0.0000
0.5000 0.5000 0.5000
0.0000 0.0000 0.0000
0.0000 0.5000 0.5000
0.5000 0.0000 0.5000
0.5000 0.5000 0.0000

=====

- Which value of calculated volume does entry 3 give?
  30.30 Å³ per atom

=====

What did the sixth record say?
Pr2RuBr | Alexandria via LeMat-Bulk | PBE | relaxed; energy relative to the elements, uncorrected = -0.72 eV/atom; E = -5.85 eV per atom; relative energy among the computed polymorphs = 0.0145 eV per atom; density of states at the Fermi level = 8.36 states/eV/cell; calculated volume = 29.15 Å³ per atom
1.0
4.1019 0.0000 0.0000
-2.0510 3.5524 0.0000
0.0000 0.0000 24.0057
Pr Ru Br
6 3 3
Direct
0.0000 0.0000 0.0000
0.0000 0.0000 0.2021
0.3333 0.6667 0.6667
0.3333 0.6667 0.8687
0.6667 0.3333 0.3333
0.6667 0.3333 0.5354
0.0000 0.0000 0.6012
0.3333 0.6667 0.2678
0.6667 0.3333 0.9345
0.0000 0.0000 0.4330
0.3333 0.6667 0.0997
0.6667 0.3333 0.7663